The following is a DFT calculation (PBE) of a relaxed structure of TiCu7Pd12.

## Properties
As for the energy of formation from the pure elements: -0.1213 eV per atom. For the total energy, the calculation gives -5.065 eV per atom.

CIF file:
```
data_TiCu7Pd12
_space_group_name_H-M_alt 'R -3'
_space_group_IT_number 148
_space_group_name_Hall '-R 3'
_cell_length_a 10.9857
_cell_length_b 10.9857
_cell_length_c 8.3531
_cell_angle_alpha 90.00
_cell_angle_beta 90.00
_cell_angle_gamma 120.00
loop_
_atom_site_label
_atom_site_fract_x
_atom_site_fract_y
_atom_site_fract_z
Ti1 0.0000 0.0000 0.0000
Cu1 0.0000 0.0000 0.5000
Cu2 0.0626 0.5674 0.6179
Pd1 0.0179 0.7626 0.5329
Pd2 0.0517 0.8839 0.2378
```